# 1
Below is an optimized crystal structure of PrSmHgAu, with properties calculated at the PBE-GGA level.

Output
* formation energy from the elements: -2.4 eV per formula unit
* offset from the most stable computed form: 15.6 meV/atom
* spin magnetization: 0.000 μB/atom

a = 5.3291 Å, b = 5.3291 Å, c = 5.3291 Å
α = 60.00°, β = 60.00°, γ = 60.00°
Closest atoms and distances in Å follow each position.
Atoms (fractional coordinates):
Pr1 0.2500 0.2500 0.2500  4 Au 3.26, 4 Hg 3.26
Au1 0.0000 0.0000 0.0000  4 Pr 3.26, 4 Sm 3.26
Hg1 0.5000 0.5000 0.5000  4 Pr 3.26, 4 Sm 3.26
Sm1 0.7500 0.7500 0.7500  4 Hg 3.26, 4 Au 3.26


# 2
Below is an optimized crystal structure of PrSnHgAu, with properties calculated at the PBE-GGA level.

Output
* formation energy from the elements: -2.2 eV per formula unit
* spin magnetization: 0.000 μB/atom

a = 4.8929 Å, b = 4.8930 Å, c = 5.4072 Å
α = 116.90°, β = 116.90°, γ = 90.00°
Closest atoms and distances in Å follow each position.
Atoms (fractional coordinates):
Pr1 0.2500 0.7500 0.5000  4 Au 3.21, 4 Hg 3.21, 4 Sn 3.46
Sn1 0.7500 0.2500 0.5000  4 Au 3.21, 4 Hg 3.21, 4 Pr 3.46
Hg1 0.5000 0.5000 0.0000  4 Sn 3.21, 4 Pr 3.21, 4 Au 3.46
Au1 0.0000 0.9999 0.0000  4 Sn 3.21, 4 Pr 3.21, 4 Hg 3.46